Material: Y13Ho2
Method: DFT, PBE
State: optimized geometry

CIF file:
```
data_Y13Ho2
_chemical_formula_sum 'Y13 Ho2'
_symmetry_space_group_name_H-M 'P -1'
_symmetry_Int_Tables_number 2
_cell_length_a 6.6310
_cell_length_b 8.9989
_cell_length_c 9.0042
_cell_angle_alpha 65.65
_cell_angle_beta 81.42
_cell_angle_gamma 81.35
loop_
_symmetry_equiv_pos_as_xyz
'x,y,z'
'-x,-y,-z'
loop_
_atom_site_label
_atom_site_type_symbol
_atom_site_fract_x
_atom_site_fract_y
_atom_site_fract_z
Y1 Y 0.0000 0.0000 0.0000
Y2 Y 0.1038 0.4513 0.7453
Y3 Y 0.1977 0.2002 0.2019
Y4 Y 0.2877 0.6246 0.9795
Y5 Y 0.3088 0.9539 0.6405
Y6 Y 0.3989 0.3981 0.4028
Y7 Y 0.4861 0.1702 0.8377
Ho1 Ho 0.0980 0.7846 0.4152
```

Properties
**Crystal system**: triclinic
**Energy of formation from the pure elements**: 0.062 eV per atom
**Energy relative to the lowest polymorph listed for this composition**: 0 meV/atom
**Uncorrected energy**: -92.3 eV per cell
**Total moment**: 0.00 μB/f.u.